Entry 1:
Below is a geometry-optimized SrSbOs2 structure, with properties calculated at the PBE-GGA level.

abc: 5.360 5.360 5.360
angles: 133.94 133.94 67.19
Fractional positions:
Sr1 0.000 0.000 0.000
Sb1 0.750 0.250 0.500
Os1 0.250 0.750 0.500
Os2 0.500 0.500 0.000

## Properties
symmetry	I-4m2 (119)
uncorrected formation energy	0.936	eV/atom

Entry 2:
Below is a geometry-optimized Mn2RuPt structure, with properties calculated at the PBE-GGA level.

abc: 4.049 5.138 5.138
angles: 30.73 90.00 90.00
Fractional positions:
Mn1 0.000 0.000 0.000
Mn2 0.500 0.130 0.130
Ru1 0.500 0.401 0.401
Pt1 0.000 0.740 0.740

## Properties
symmetry	Amm2 (38)
ΔH_f (0 K)	-1.47	kcal/mol of atoms

Question: Which formula does entry 1 have?
Answer: SrSbOs2